A plane-wave DFT calculation with PBE-GGA was carried out for BaCaFe2P after structural relaxation.

Computed properties:
- VASP energy (eV/atom) = -4.84
- energy of formation from the pure elements (eV per atom) = 0.4100

```
data_BaCaFe2P
_chemical_formula_sum 'Ba1 Ca1 Fe2 P1'
_cell_length_a 4.376
_cell_length_b 4.376
_cell_length_c 5.694
_cell_angle_alpha 90.00
_cell_angle_beta 90.00
_cell_angle_gamma 90.00
_space_group_name_H-M_alt 'P 4/m m m'
_space_group_IT_number 123
_space_group_name_Hall '-P 4 2'
loop_
_atom_site_label
_atom_site_type_symbol
_atom_site_fract_x
_atom_site_fract_y
_atom_site_fract_z
Ba1 Ba 0.000 0.000 0.000
Ca1 Ca 0.500 0.500 0.000
Fe1 Fe 0.000 0.500 0.500
P1 P 0.000 0.000 0.500
```